Crystalline Pu2Cu2Pd3 at its relaxed geometry. Source: Alexandria, functional PBE-GGA.

Results
VASP energy: -7.527 eV per atom
space-group type: C2/m

a b c (Å): 12.510 3.093 7.308
angles (deg): 90.00 123.84 90.00
Element x y z (fractional)
1 Pu 0.174 0.000 0.474
2 Pu 0.326 0.500 0.526
3 Pu 0.674 0.500 0.474
4 Pu 0.826 0.000 0.526
5 Cu 0.186 0.000 0.060
6 Cu 0.314 0.500 0.940
7 Cu 0.686 0.500 0.060
8 Cu 0.814 0.000 0.940
9 Pd 0.000 0.500 0.000
10 Pd 0.071 0.500 0.713
11 Pd 0.429 0.000 0.287
12 Pd 0.500 0.000 0.000
13 Pd 0.571 0.000 0.713
14 Pd 0.929 0.500 0.287